Computed, not measured: a geometry-optimized CaSiB2O6 structure at the PBE level of DFT.

Calculated values
Formation energy from raw total energies ... -2.599 eV/atom
SG ... C2/c (15)

Lattice parameters (Å, degrees): 4.9550 6.6252 6.6252 95.96 75.49 75.49
Positions (direct):
O1 0.9206 0.2146 0.1712
O2 0.5794 0.8288 0.7854
O3 0.2080 0.0619 0.6600
B1 0.3382 0.8344 0.6785
O4 0.4428 0.7087 0.4671
O5 0.7920 0.9381 0.3400
O6 0.2920 0.3400 0.9381
Ca1 0.7500 0.1352 0.8648
O7 0.7080 0.6600 0.0619
O8 0.5572 0.2913 0.5329
B2 0.6618 0.1656 0.3215
O9 0.0794 0.7854 0.8288
B3 0.1618 0.3215 0.1656
O10 0.0572 0.5329 0.2913
O11 0.9428 0.4671 0.7087
O12 0.4206 0.1712 0.2146
B4 0.8382 0.6785 0.8344
Si1 0.7500 0.6998 0.3002
Ca2 0.2500 0.8648 0.1352
Si2 0.2500 0.3002 0.6998